The following is a DFT calculation (PBE-GGA) of an optimized crystal structure of HgTe2P2.

Structure (POSCAR):
```
HgTe2P2
1.0
-2.7190 2.7190 4.1960
2.7190 -2.7190 4.1960
2.7190 2.7190 -4.1960
Hg Te P
1 2 2
Direct
0.0000 0.0000 0.0000
0.2500 0.7500 0.5000
0.7500 0.2500 0.5000
0.3613 0.3613 0.0000
0.6387 0.6387 0.0000
```

Calculated values
Total DFT energy (no corrections) ... -3.17 eV/atom
Energy relative to the elements, uncorrected ... 315 meV/atom
Symmetry ... I4/mmm (139)
Crystal system ... tetragonal
Offset from the most stable computed form ... 0.000 eV/atom